[1]
# GGA-PBE Ca3Tb3CuTe8, relaxed
# **E_form (uncorrected)**: -1.247 eV/atom
data_Ca3Tb3CuTe8
_chemical_formula_sum 'Ca6 Tb6 Cu2 Te16'
_cell_length_a 15.206
_cell_length_b 8.781
_cell_length_c 8.894
_cell_angle_alpha 90.00
_cell_angle_beta 124.73
_cell_angle_gamma 90.00
_space_group_name_H-M_alt 'C 1 2/m 1'
_space_group_IT_number 12
loop_
_space_group_symop_operation_xyz
'x,y,z'
'-x,-y,-z'
'-x,y,-z'
'x,-y,z'
'x+1/2,y+1/2,z'
'-x+1/2,-y+1/2,-z'
'-x+1/2,y+1/2,-z'
'x+1/2,-y+1/2,z'
loop_
_atom_site_label
_atom_site_type_symbol
_atom_site_fract_x
_atom_site_fract_y
_atom_site_fract_z
Ca1 Ca 0.000 0.000 0.000
Ca2 Ca 0.250 0.250 0.000
Tb1 Tb 0.000 0.500 0.500
Tb2 Tb 0.250 0.250 0.500
Cu1 Cu 0.000 0.000 0.500
Te1 Te 0.003 0.242 0.269
Te2 Te 0.237 0.000 0.730
Te3 Te 0.248 0.500 0.745

[2]
# GGA-PBE Sr6Pd2PtBr3, relaxed
# **E_form (uncorrected)**: -1.145 eV/atom
data_Sr6Pd2PtBr3
_chemical_formula_sum 'Sr12 Pd4 Pt2 Br6'
_cell_length_a 7.575
_cell_length_b 13.113
_cell_length_c 8.349
_cell_angle_alpha 90.00
_cell_angle_beta 107.60
_cell_angle_gamma 90.00
_space_group_name_H-M_alt 'C 1 2/m 1'
_space_group_IT_number 12
loop_
_space_group_symop_operation_xyz
'x,y,z'
'-x,-y,-z'
'-x,y,-z'
'x,-y,z'
'x+1/2,y+1/2,z'
'-x+1/2,-y+1/2,-z'
'-x+1/2,y+1/2,-z'
'x+1/2,-y+1/2,z'
loop_
_atom_site_label
_atom_site_type_symbol
_atom_site_fract_x
_atom_site_fract_y
_atom_site_fract_z
Sr1 Sr 0.235 0.164 0.212
Sr2 Sr 0.242 0.500 0.213
Pd1 Pd 0.000 0.334 0.000
Pt1 Pt 0.000 0.000 0.000
Br1 Br 0.000 0.167 0.500
Br2 Br 0.000 0.500 0.500

[3]
# GGA-PBE CeIn2CoPb, relaxed
# **E_form**: -0.318 eV/atom
data_CeIn2CoPb
_chemical_formula_sum 'Ce1 In2 Co1 Pb1'
_cell_length_a 5.057
_cell_length_b 5.057
_cell_length_c 4.807
_cell_angle_alpha 90.00
_cell_angle_beta 90.00
_cell_angle_gamma 90.00
_space_group_name_H-M_alt 'P 4/m m m'
_space_group_IT_number 123
_space_group_name_Hall '-P 4 2'
loop_
_atom_site_label
_atom_site_type_symbol
_atom_site_fract_x
_atom_site_fract_y
_atom_site_fract_z
Ce1 Ce 0.000 0.000 0.000
In1 In 0.000 0.500 0.500
Co1 Co 0.000 0.000 0.500
Pb1 Pb 0.500 0.500 0.000

Q: Which electronic total energy values were calculated for the entries above? A: -4.52 -3.77 -4.76, in eV per atom.
Q: Which magnetic moment values were calculated for the entries above? A: 0.00 0.00 0.00, in μB per formula unit.